Entry 1:
VASP calculation (PBE) on crystalline Y2Er6Sc at its relaxed geometry.

```
Y2Er6Sc
1.0
6.3363 -6.9277 0.0000
6.3363 6.9277 0.0000
-1.5150 0.0000 6.2762
Y Er Sc
4 12 2
Direct
0.1184 0.1678 0.3712
0.1678 0.1184 0.8712
0.8322 0.8816 0.1288
0.8816 0.8322 0.6288
0.0427 0.4455 0.7344
0.1575 0.7795 0.9999
0.2205 0.8425 0.5001
0.2840 0.4564 0.1902
0.4455 0.0427 0.2344
0.4564 0.2840 0.6902
0.5436 0.7160 0.3098
0.5545 0.9573 0.7656
0.7160 0.5436 0.8098
0.7795 0.1575 0.4999
0.8425 0.2205 0.0001
0.9573 0.5545 0.2656
0.3807 0.6193 0.7500
0.6193 0.3807 0.2500
```

Summary:
Energy above the lowest structure with this stoichiometry ... 0.814 eV per formula unit
Spin magnetization ... 0.00 μB per formula unit

---

Entry 2:
VASP calculation (PBE) on crystalline Tb4PmSb5 at its relaxed geometry.

```
Tb4PmSb5
1.0
-2.2111 3.1245 11.0465
2.2111 -3.1245 11.0465
2.2111 3.1245 -11.0465
Tb Pm Sb
4 1 5
Direct
0.1001 0.1001 0.0000
0.2989 0.2989 0.0000
0.7011 0.7011 0.0000
0.8999 0.8999 0.0000
0.5000 0.5000 0.0000
0.0000 0.5000 0.5000
0.1996 0.6996 0.5000
0.3978 0.8978 0.5000
0.6022 0.1022 0.5000
0.8004 0.3004 0.5000
```

Summary:
Raw formation energy ... -1.16 eV per atom
Spin magnetization ... 0.00 μB per formula unit

---

Entry 3:
VASP calculation (PBE) on crystalline SrTcW2 at its relaxed geometry.

```
SrTcW2
1.0
3.8944 0.0000 0.0000
0.0000 3.8944 0.0000
0.0000 0.0000 4.9950
Sr Tc W
1 1 2
Direct
0.0000 0.0000 0.0000
0.5000 0.5000 0.0000
0.0000 0.5000 0.5000
0.5000 0.0000 0.5000
```

Summary:
Energy above the lowest structure with this stoichiometry ... 2.856 eV per formula unit
Spin magnetization ... 0.25 μB per formula unit

---

Entry 4:
VASP calculation (PBE) on crystalline BaSmPuO6 at its relaxed geometry.

```
BaSmPuO6
1.0
5.9492 0.0000 0.0000
-2.9746 5.1522 0.0000
0.0000 0.0000 10.8997
Ba Sm Pu O
2 2 2 12
Direct
0.0000 0.0000 0.0000
0.0000 0.0000 0.5000
0.3333 0.6667 0.2500
0.6667 0.3333 0.7500
0.3333 0.6667 0.7500
0.6667 0.3333 0.2500
0.0394 0.3934 0.6484
0.0394 0.6460 0.8516
0.3540 0.3934 0.8516
0.3540 0.9606 0.6484
0.3934 0.0394 0.1484
0.3934 0.3540 0.3516
0.6066 0.6460 0.6484
0.6066 0.9606 0.8516
0.6460 0.0394 0.3516
0.6460 0.6066 0.1484
0.9606 0.3540 0.1484
0.9606 0.6066 0.3516
```

Summary:
Raw formation energy ... -2.83 eV per atom
Spin magnetization ... 1.00 μB per formula unit

---

Entry 5:
VASP calculation (PBE) on crystalline TcSb2Pt at its relaxed geometry.

```
TcSb2Pt
1.0
-1.6252 2.1649 6.5505
1.6252 -2.1649 6.5505
1.6252 2.1649 -6.5505
Tc Sb Pt
1 2 1
Direct
0.0000 0.0000 0.0000
0.1767 0.6767 0.5000
0.4486 0.4486 0.0000
0.6352 0.1352 0.5000
```

Summary:
Energy above the lowest structure with this stoichiometry ... 0.870 eV per formula unit
Raw formation energy ... 0.15 eV per atom
Spin magnetization ... 0.00 μB per formula unit

---

Entry 6:
VASP calculation (PBE) on crystalline ThScAgIr at its relaxed geometry.

```
ThScAgIr
1.0
0.0000 3.5198 3.5198
3.5198 0.0000 3.5198
3.5198 3.5198 0.0000
Th Sc Ag Ir
1 1 1 1
Direct
0.0000 0.0000 0.0000
0.5000 0.5000 0.5000
0.2500 0.2500 0.2500
0.7500 0.7500 0.7500
```

Summary:
Spin magnetization ... 0.00 μB per formula unit

---

Entry 7:
VASP calculation (PBE) on crystalline NaLa3Sm2Te6 at its relaxed geometry.

```
NaLa3Sm2Te6
1.0
9.8561 -2.2658 0.0000
9.8561 2.2658 0.0000
-1.9656 0.0000 8.8307
Na La Sm Te
1 3 2 6
Direct
0.0000 0.0000 0.0000
0.0000 0.0000 0.5000
0.3357 0.3357 0.1694
0.6643 0.6643 0.8306
0.3305 0.3305 0.6574
0.6695 0.6695 0.3426
0.1660 0.1660 0.0908
0.1671 0.1671 0.5811
0.4957 0.4957 0.7535
0.5043 0.5043 0.2465
0.8329 0.8329 0.4189
0.8340 0.8340 0.9092
```

Summary:
Raw formation energy ... -1.47 eV per atom
Spin magnetization ... 0.00 μB per formula unit

---

Entry 8:
VASP calculation (PBE) on crystalline V6GaGe2 at its relaxed geometry.

```
V6GaGe2
1.0
2.6638 0.0000 0.0000
0.9642 6.6238 0.0000
0.1005 1.6246 7.1020
V Ga Ge
6 1 2
Direct
0.0764 0.3520 0.2576
0.0960 0.9903 0.8284
0.2767 0.6616 0.4075
0.7233 0.3384 0.5925
0.9040 0.0097 0.1716
0.9236 0.6480 0.7424
0.5000 0.0000 0.5000
0.4130 0.3009 0.9295
0.5870 0.6991 0.0705
```

Summary:
Energy above the lowest structure with this stoichiometry ... 0.000 eV per formula unit
Spin magnetization ... 0.00 μB per formula unit

---

| no. | DFT total energy (Ha/atom) |
| --- | --- |
| 1 | -0.1858 |
| 2 | -0.2037 |
| 3 | -0.2975 |
| 4 | -0.3113 |
| 5 | -0.2211 |
| 6 | -0.2510 |
| 7 | -0.1900 |
| 8 | -0.2793 |